Record 1
The following is a GGA-PBE calculation of a relaxed structure of DyZrRh4, from Alexandria via LeMat-Bulk.

Cell lengths 3.145, 4.536, 7.867 Å; angles 90.03, 89.91, 90.00 degrees
Fractional coordinates of all 6 atoms:
1 Zr 0.001 0.997 0.498
2 Rh 0.502 0.997 0.226
3 Rh 0.002 0.497 0.297
4 Rh 0.500 0.997 0.771
5 Rh 0.001 0.497 0.699
6 Dy 0.501 0.497 0.998

Output
Magnetic moment, μB/f.u.: 0.000
Energy of formation, eV per atom: -0.3136
Calculated density, g/cm³: 9.84
DOS(E_F), states/eV per cell: 6.37
Energy relative to the lowest polymorph listed for this composition, eV/f.u.: 2.06
Space group: No. 10



Record 2
The following is a GGA-PBE calculation of a relaxed structure of Dy4ZrRh3, from Alexandria via LeMat-Bulk.

Cell lengths 5.978, 8.278, 8.278 Å; angles 82.51, 68.83, 68.83 degrees
Fractional coordinates of all 16 atoms:
1 Zr 0.250 0.500 0.500
2 Zr 0.750 0.500 0.500
3 Dy 0.287 0.132 0.295
4 Dy 0.082 0.132 0.705
5 Dy 0.787 0.295 0.132
6 Dy 0.213 0.705 0.868
7 Dy 0.713 0.868 0.705
8 Dy 0.918 0.868 0.295
9 Dy 0.582 0.705 0.132
10 Dy 0.418 0.295 0.868
11 Rh 0.750 0.000 0.000
12 Rh 0.653 0.194 0.500
13 Rh 0.347 0.806 0.500
14 Rh 0.153 0.500 0.194
15 Rh 0.847 0.500 0.806
16 Rh 0.250 0.000 0.000

Output
Magnetic moment, μB/f.u.: 0.000
Energy of formation, eV per atom: -0.6901
Calculated density, g/cm³: 9.79
DOS(E_F), states/eV per cell: 13.83
Space group: No. 140



Question: DOS(E_F) of number 2 (Dy4ZrRh3)?
Answer: 13.83 states/eV per cell